No. 1
Below is a relaxed structure of ReTcP, with properties calculated at the PBE-GGA level.

Unit cell a=5.222 b=5.222 c=5.222 alpha=147.74 beta=147.74 gamma=46.27
Positions (direct):
1 Re 0.347 0.347 0.000
2 P 0.000 0.000 0.000
3 Tc 0.653 0.653 0.000

## Properties
ΔH_f (0 K) (eV/f.u.): -0.7
VASP energy (eV for the cell shown): -28.94
Crystal system: tetragonal
Relative energy among the computed polymorphs (meV per atom): 0

=====

No. 2
Below is a relaxed structure of SrCuSeO, with properties calculated at the PBE-GGA level.

Unit cell a=3.983 b=3.983 c=5.902 alpha=90.00 beta=90.00 gamma=120.00
Positions (direct):
1 Sr 0.667 0.333 0.995
2 O 0.333 0.667 0.114
3 Se 0.000 0.000 0.580
4 Cu 0.333 0.667 0.440

## Properties
Formation energy (no corrections) (eV/atom): -1.382
VASP energy (eV for the cell shown): -19.75
Crystal system: trigonal